# 1
{
  "formula": "La8Y3",
  "functional": "PBE",
  "state": "relaxed",
  "ef_ev_per_atom": 0.02,
  "lattice": [[5.850, -2.605, 0.000], [5.850, 2.605, 0.000], [-3.425, 0.000, 12.854]],
  "species": ["La", "La", "La", "La", "La", "La", "La", "La", "Y", "Y", "Y"],
  "frac_coords": [[0.046, 0.046, 0.318], [0.138, 0.138, 0.954], [0.227, 0.227, 0.590], [0.320, 0.320, 0.227], [0.680, 0.680, 0.773], [0.773, 0.773, 0.410], [0.862, 0.862, 0.046], [0.954, 0.954, 0.682], [0.409, 0.409, 0.865], [0.500, 0.500, 0.500], [0.591, 0.591, 0.135]]
}

=====

# 2
{
  "formula": "Cd2SeBr2",
  "functional": "PBE",
  "state": "relaxed",
  "relative_energy_ev_per_fu": 2.47,
  "lattice": [[4.750, 0.000, 0.000], [0.000, 4.750, 0.000], [0.000, 0.000, 12.178]],
  "species": ["Cd", "Cd", "Cd", "Cd", "Se", "Se", "Br", "Br", "Br", "Br"],
  "frac_coords": [[0.000, 0.000, 0.116], [0.000, 0.000, 0.884], [0.500, 0.500, 0.384], [0.500, 0.500, 0.616], [0.000, 0.000, 0.500], [0.500, 0.500, 0.000], [0.000, 0.500, 0.250], [0.000, 0.500, 0.750], [0.500, 0.000, 0.250], [0.500, 0.000, 0.750]]
}

=====

# 3
{
  "formula": "Pu2AuN",
  "functional": "PBE",
  "state": "relaxed",
  "dft_energy_ev_per_atom": -10.76,
  "lattice": [[3.427, 0.000, 0.000], [-1.713, 2.968, 0.000], [0.000, 0.000, 23.129]],
  "species": ["Pu", "Pu", "Pu", "Pu", "Pu", "Pu", "Au", "Au", "Au", "N", "N", "N"],
  "frac_coords": [[0.000, 0.000, 0.000], [0.000, 0.000, 0.211], [0.333, 0.667, 0.667], [0.333, 0.667, 0.878], [0.667, 0.333, 0.333], [0.667, 0.333, 0.545], [0.000, 0.000, 0.772], [0.333, 0.667, 0.439], [0.667, 0.333, 0.106], [0.000, 0.000, 0.606], [0.333, 0.667, 0.272], [0.667, 0.333, 0.939]]
}

=====

# 4
{
  "formula": "AgOsS2",
  "functional": "PBE",
  "state": "relaxed",
  "dft_energy_ev_per_atom": -4.98,
  "lattice": [[6.218, 0.000, 0.000], [0.000, 6.218, 0.000], [0.000, 0.000, 6.218]],
  "species": ["Ag", "Ag", "Ag", "Ag", "Os", "Os", "Os", "Os", "S", "S", "S", "S", "S", "S", "S", "S"],
  "frac_coords": [[0.000, 0.000, 0.000], [0.000, 0.500, 0.500], [0.500, 0.000, 0.500], [0.500, 0.500, 0.000], [0.000, 0.000, 0.500], [0.000, 0.500, 0.000], [0.500, 0.000, 0.000], [0.500, 0.500, 0.500], [0.250, 0.250, 0.250], [0.250, 0.250, 0.750], [0.250, 0.750, 0.250], [0.250, 0.750, 0.750], [0.750, 0.250, 0.250], [0.750, 0.250, 0.750], [0.750, 0.750, 0.250], [0.750, 0.750, 0.750]]
}